# La4SiCl3 PBE relaxed
data_La4SiCl3
_chemical_formula_sum 'La8 Si2 Cl6'
_cell_length_a 7.257
_cell_length_b 8.422
_cell_length_c 7.406
_cell_angle_alpha 90.00
_cell_angle_beta 109.36
_cell_angle_gamma 90.00
_space_group_name_H-M_alt 'P 1 2/c 1'
_space_group_IT_number 13
_space_group_name_Hall '-P 2yc'
loop_
_atom_site_label
_atom_site_type_symbol
_atom_site_fract_x
_atom_site_fract_y
_atom_site_fract_z
La1 La 0.239 0.122 0.498
La2 La 0.243 0.375 0.996
Si1 Si 0.000 0.130 0.750
Cl1 Cl 0.000 0.373 0.250
Cl2 Cl 0.500 0.125 0.250
Cl3 Cl 0.500 0.371 0.750
# ΔE_f (raw) (eV per formula unit): -11.4
# Uncorrected energy (eV per atom): -5.26